Crystalline La2TiInH at its relaxed geometry. Source: Alexandria, functional GGA-PBE.

Output
Raw total energy in eV/atom: -4.97
Space-group type: P4/mmm (123)
M_tot in μB per cell: 3.184

Cell: 5.3298 5.3298 4.1638 Å, 90.00 90.00 90.00°
Closest atoms and distances in Å follow each position.
Atoms (fractional coordinates):
H  0.0000  0.0000  0.0000  2 Ti 2.08
In  0.5000  0.5000  0.5000  8 La 3.38, 4 Ti 3.77
Ti  0.0000  0.0000  0.5000  2 H 2.08
La  0.0000  0.5000  0.0000  2 H 2.66
La  0.5000  0.0000  0.0000  2 H 2.66